[1]
The following is a DFT calculation (GGA-PBE) of an optimized crystal structure of MnAlOs4.

## Properties
As for the total energy: -9.125 eV/atom. The symmetry is F-43m, No. 216.

Geometry as extended XYZ:
```
6
Lattice="0.0000 3.6289 3.6289 3.6289 0.0000 3.6289 3.6289 3.6289 0.0000" Properties=species:S:1:pos:R:3 pbc="T T T"
Mn 0.0000 0.0000 0.0000
Al 1.8144 1.8144 1.8144
Os 4.5362 2.7215 2.7215
Os 2.7215 4.5362 2.7215
Os 2.7215 2.7215 4.5362
Os 4.5362 4.5362 4.5362
```

=====

[2]
The following is a DFT calculation (GGA-PBE) of an optimized crystal structure of MnAl8Os2.

## Properties
As for the total energy: -5.954 eV/atom. The symmetry is Immm, No. 71.

Geometry as extended XYZ:
```
11
Lattice="-2.0266 3.7596 5.3681 2.0266 -3.7596 5.3681 2.0266 3.7596 -5.3681" Properties=species:S:1:pos:R:3 pbc="T T T"
Mn 0.0000 0.0000 0.0000
Al 2.0266 -1.6296 3.6667
Al 2.0266 0.0000 1.4396
Al 2.0266 2.4337 0.0000
Al 0.0000 2.1299 1.7014
Al 2.0266 1.6296 3.6667
Al 0.0000 1.3258 5.3681
Al 0.0000 3.7596 3.9284
Al 0.0000 5.3892 1.7014
Os 0.0000 0.0000 3.1291
Os 0.0000 0.0000 7.6070
```

=====

Formation energy: 0.514, -0.357 (eV per atom)